1.
## HoCrAs2O8 (PBE+U)

Data for a relaxed structure of HoCrAs2O8.

Results
magnetization = 3.00 μB/f.u.
final energy = -6.799 eV per atom

Structure (POSCAR):
```
HoCrAs2O8
1.0
5.8306 0.0790 0.0000
-2.5152 5.2607 0.0000
-1.6577 -2.6698 4.9118
As Cr O Ho
2 1 8 1
direct
0.7500 0.2500 0.5000 As
0.5000 0.5000 0.0000 As
0.0000 0.0000 0.0000 Cr
0.5036 0.6846 0.8190 O
0.9302 0.6190 0.6888 O
0.9302 0.2414 0.3112 O
0.3154 0.1345 0.8190 O
0.3810 0.0698 0.3112 O
0.8655 0.6846 0.1810 O
0.3154 0.4964 0.1810 O
0.7586 0.0698 0.6888 O
0.2500 0.7500 0.5000 Ho
```

---

2.
## Mn5O3F5 (PBE+U)

Data for a relaxed structure of Mn5O3F5.

Results
magnetization = 24.00 μB/f.u.
energy above the most stable polymorph in this dataset = 2 meV per atom

Structure (POSCAR):
```
Mn5O3F5
1.0
1.4876 5.4077 3.0263
-2.0168 0.9078 5.9769
4.2061 -0.1375 4.7858
Mn O F
5 3 5
direct
0.1145 0.6193 0.6193 Mn
0.0203 0.0203 0.0203 Mn
0.6193 0.6193 0.1145 Mn
0.6283 0.6283 0.6283 Mn
0.6193 0.1145 0.6193 Mn
0.8693 0.4077 0.8693 O
0.8693 0.8693 0.4077 O
0.4077 0.8693 0.8693 O
0.3830 0.3830 0.3830 F
0.3891 0.3891 0.8144 F
0.8761 0.8761 0.8761 F
0.8144 0.3891 0.3891 F
0.3891 0.8144 0.3891 F
```